VASP calculation (PBE with a Hubbard U) on Mn3IO after structural relaxation.

Lattice parameters (Å, degrees): 5.5253 5.5253 5.5253 90.00 90.00 90.00
With the nearest neighbours (Å) after each atom.
Element x y z (fractional)
Mn1 0.0000 0.0000 0.5000  2 I 2.76
Mn2 0.0000 0.5000 0.0000  2 I 2.76
Mn3 0.5000 0.0000 0.0000  2 I 2.76
I1 0.0000 0.0000 0.0000  6 Mn 2.76
O1 0.5000 0.5000 0.5000  12 Mn 3.91

Summary:
Crystal system: cubic
DOS(E_F): 0.915 states/eV/atom
ρ: 3.0 g/cm³
Spin magnetization: 15.61 μB per formula unit
Space group: Pm-3m (221)
Distance to the lowest polymorph of the same formula: 1587 meV per atom
Volume: 33.736 Å³ per atom

VASP calculation (PBE with a Hubbard U) on Mn3I5O after structural relaxation.

Lattice parameters (Å, degrees): 6.8052 8.6397 12.1663 99.12 101.87 105.91
With the nearest neighbours (Å) after each atom.
Element x y z (fractional)
Mn1 0.0000 0.0000 0.0000  2 O 1.99
Mn2 0.0016 0.5093 0.3418  5 I 2.80-2.86
Mn3 0.3046 0.7794 0.1605  1 O 2.01
Mn4 0.5000 0.0000 0.0000  2 O 1.94
Mn5 0.6954 0.2206 0.8395  1 O 2.01
Mn6 0.9984 0.4907 0.6582  5 I 2.80-2.86
I1 0.1550 0.4399 0.1492  2 Mn 2.80
I2 0.2267 0.3852 0.5106  2 Mn 2.81-2.83
I3 0.2583 0.8462 0.3820  2 Mn 2.77-2.86
I4 0.2872 0.2133 0.8741  3 Mn 2.88-3.12
I5 0.3703 0.7631 0.7758  2 Mn 2.86-2.94
I6 0.6297 0.2369 0.2242  2 Mn 2.86-2.94
I7 0.7128 0.7867 0.1259  3 Mn 2.88-3.12
I8 0.7417 0.1538 0.6180  2 Mn 2.77-2.86
I9 0.7733 0.6148 0.4894  2 Mn 2.81-2.83
I10 0.8450 0.5601 0.8508  2 Mn 2.80
O1 0.2434 0.9183 0.0487  3 Mn 1.94-2.01
O2 0.7566 0.0817 0.9513  3 Mn 1.94-2.01

Summary:
VASP energy: -0.33565 Ry/atom
Crystal system: triclinic
DOS(E_F): 0.415 states/eV/atom
ρ: 4.1 g/cm³
Spin magnetization: 13.98 μB per formula unit
Space group: P-1 (2)
Volume: 36.415 Å³ per atom